A plane-wave DFT calculation with GGA-PBEsol was carried out for a relaxed structure of LiAs2BrN.

a = 4.502 Å, b = 4.502 Å, c = 4.775 Å
α = 90.00°, β = 90.00°, γ = 90.00°
Space group P4/mmm (No. 123)
One atom of each set of equivalent atoms:
Li 0.000 0.000 0.000
As 0.000 0.500 0.000
Br 0.000 0.000 0.500
N 0.500 0.500 0.500

Values from the calculation:
Calculated volume, Å³ per atom: 19.36
Formation energy without anion corrections, kcal/mol of atoms: 31.388
Final energy, eV per atom: -3.154
Mass density, Mg/m³: 4.300
Total magnetic moment, μB per formula unit: 2.0

=====

A plane-wave DFT calculation with GGA-PBEsol was carried out for a relaxed structure of Ca2YSe.

a = 3.942 Å, b = 5.195 Å, c = 5.390 Å
α = 90.00°, β = 90.00°, γ = 90.00°
Space group Pmmm (No. 47)
One atom of each set of equivalent atoms:
Ca 0.000 0.000 0.000
Ca 0.500 0.000 0.500
Y 0.000 0.500 0.500
Se 0.500 0.500 0.000

Values from the calculation:
Calculated volume, Å³ per atom: 27.59
Formation energy without anion corrections, kcal/mol of atoms: -8.985
Final energy, eV per atom: -4.124
Mass density, Mg/m³: 3.732
Total magnetic moment, μB per formula unit: 0.0

=====

A plane-wave DFT calculation with GGA-PBEsol was carried out for a relaxed structure of MgZn7.

a = 7.823 Å, b = 7.823 Å, c = 7.823 Å
α = 90.00°, β = 90.00°, γ = 90.00°
Space group Fm-3m (No. 225)
One atom of each set of equivalent atoms:
Mg 0.000 0.000 0.000
Zn 0.000 0.000 0.500
Zn 0.000 0.250 0.250

Values from the calculation:
Calculated volume, Å³ per atom: 14.96
Final energy, eV per atom: -1.587
Mass density, Mg/m³: 6.689
Total magnetic moment, μB per formula unit: 0.0

=====

A plane-wave DFT calculation with GGA-PBEsol was carried out for a relaxed structure of K2NaAl3F12.

a = 11.201 Å, b = 6.991 Å, c = 11.894 Å
α = 90.00°, β = 90.00°, γ = 90.00°
Space group Pnma (No. 62)
One atom of each set of equivalent atoms:
K 0.041 0.250 0.074
K 0.055 0.750 0.607
Na 0.014 0.750 0.227
Al 0.204 0.250 0.579
Al 0.248 0.000 0.330
F 0.046 0.250 0.585
F 0.104 0.044 0.276
F 0.107 0.045 0.882
F 0.141 0.750 0.078
F 0.195 0.061 0.472
F 0.200 0.060 0.687
F 0.205 0.750 0.355
F 0.207 0.750 0.802

Values from the calculation:
Calculated volume, Å³ per atom: 12.94
Formation energy without anion corrections, kcal/mol of atoms: -78.052
Final energy, eV per atom: -5.555
Mass density, Mg/m³: 2.925
Total magnetic moment, μB per formula unit: 0.0

=====

A plane-wave DFT calculation with GGA-PBEsol was carried out for a relaxed structure of CrMo2Ir.

a = 3.810 Å, b = 3.810 Å, c = 3.869 Å
α = 90.00°, β = 90.00°, γ = 90.00°
Space group P4/mmm (No. 123)
One atom of each set of equivalent atoms:
Cr 0.000 0.000 0.000
Mo 0.000 0.500 0.500
Ir 0.500 0.500 0.000

Values from the calculation:
Calculated volume, Å³ per atom: 14.04
Final energy, eV per atom: -10.864
Mass density, Mg/m³: 12.893
Total magnetic moment, μB per formula unit: 0.0

=====

A plane-wave DFT calculation with GGA-PBEsol was carried out for a relaxed structure of Cr3Rh.

a = 2.834 Å, b = 2.834 Å, c = 5.953 Å
α = 90.00°, β = 90.00°, γ = 90.00°
Space group P4/mmm (No. 123)
One atom of each set of equivalent atoms:
Cr 0.000 0.000 0.000
Cr 0.500 0.500 0.222
Rh 0.000 0.000 0.500

Values from the calculation:
Calculated volume, Å³ per atom: 11.95
Final energy, eV per atom: -9.636
Mass density, Mg/m³: 8.993
Total magnetic moment, μB per formula unit: 1.8